The following is a SCAN calculation of Re2RuPb at its PBEsol-relaxed geometry, from the Alexandria database.

Properties
Magnetization ... 0.0 μB/f.u.
Calculated formation energy ... 0.978 eV per atom

Unit cell a=5.2669 b=5.2669 c=5.2669 alpha=145.58 beta=128.23 gamma=63.66
Positions (direct):
Re (0.0000, 0.0000, 0.0000)
Re (0.7612, 0.2612, 0.5000)
Ru (0.2634, 0.7634, 0.5000)
Pb (0.5073, 0.5073, 0.0000)

The following is a SCAN calculation of LaRe2Mo at its PBEsol-relaxed geometry, from the Alexandria database.

Properties
Magnetization ... 0.0 μB/f.u.
Calculated formation energy ... 0.334 eV per atom
Energy above the lowest structure with this stoichiometry ... 0 meV/atom

Unit cell a=3.1250 b=3.1250 c=7.5299 alpha=90.00 beta=90.00 gamma=90.00
Positions (direct):
La (0.0000, 0.0000, 0.0000)
Re (0.5000, 0.5000, 0.3071)
Re (0.5000, 0.5000, 0.6929)
Mo (0.0000, 0.0000, 0.5000)

The following is a SCAN calculation of ReIr3 at its PBEsol-relaxed geometry, from the Alexandria database.

Properties
Magnetization ... 0.0 μB/f.u.
Calculated formation energy ... -0.129 eV per atom
Energy above the lowest structure with this stoichiometry ... 27 meV/atom

Unit cell a=2.7353 b=2.7353 c=8.7630 alpha=90.00 beta=90.00 gamma=120.00
Positions (direct):
Re (0.0000, 0.0000, 0.0000)
Ir (0.0000, 0.0000, 0.5000)
Ir (0.3333, 0.6667, 0.2434)
Ir (0.3333, 0.6667, 0.7566)

The following is a SCAN calculation of RbSi2Ag2 at its PBEsol-relaxed geometry, from the Alexandria database.

Properties
Magnetization ... 0.0 μB/f.u.
Formation energy (no corrections) ... 0.18 eV/atom

Unit cell a=5.8939 b=5.8939 c=5.8939 alpha=133.82 beta=133.82 gamma=67.36
Positions (direct):
Rb (0.0000, 0.0000, 0.0000)
Si (0.3801, 0.3801, 0.0000)
Si (0.6199, 0.6199, 0.0000)
Ag (0.2500, 0.7500, 0.5000)
Ag (0.7500, 0.2500, 0.5000)

The following is a SCAN calculation of RbAlMo2F at its PBEsol-relaxed geometry, from the Alexandria database.

Properties
Magnetization ... 8.8 μB/f.u.
Formation energy (no corrections) ... 0.86 eV/atom

Unit cell a=5.1744 b=5.1744 c=4.5240 alpha=90.00 beta=90.00 gamma=90.00
Positions (direct):
Rb (0.0000, 0.0000, 0.0000)
Al (0.5000, 0.5000, 0.5000)
Mo (0.0000, 0.5000, 0.5000)
Mo (0.5000, 0.0000, 0.5000)
F (0.5000, 0.5000, 0.0000)

The following is a SCAN calculation of SrLa4Te at its PBEsol-relaxed geometry, from the Alexandria database.

Properties
Magnetization ... 2.6 μB/f.u.
Formation energy (no corrections) ... 0.00 eV/atom

Unit cell a=6.6305 b=6.6305 c=6.6305 alpha=60.00 beta=60.00 gamma=60.00
Positions (direct):
Sr (0.0000, 0.0000, 0.0000)
La (0.1198, 0.6267, 0.6267)
La (0.6267, 0.1198, 0.6267)
La (0.6267, 0.6267, 0.1198)
La (0.6267, 0.6267, 0.6267)
Te (0.2500, 0.2500, 0.2500)

The following is a SCAN calculation of DyAlAu at its PBEsol-relaxed geometry, from the Alexandria database.

Properties
Magnetization ... 0.0 μB/f.u.
Calculated formation energy ... -1.058 eV per atom

Unit cell a=7.1189 b=4.4183 c=7.6687 alpha=90.00 beta=90.00 gamma=90.00
Positions (direct):
Dy (0.0088, 0.2500, 0.1950)
Dy (0.4912, 0.7500, 0.6950)
Dy (0.5088, 0.2500, 0.3050)
Dy (0.9912, 0.7500, 0.8050)
Al (0.1717, 0.2500, 0.5778)
Al (0.3283, 0.7500, 0.0778)
Al (0.6717, 0.2500, 0.9222)
Al (0.8283, 0.7500, 0.4222)
Au (0.2125, 0.7500, 0.4042)
Au (0.2875, 0.2500, 0.9042)
Au (0.7125, 0.7500, 0.0958)
Au (0.7875, 0.2500, 0.5958)

The following is a SCAN calculation of CrIr2 at its PBEsol-relaxed geometry, from the Alexandria database.

Properties
Magnetization ... 1.0 μB/f.u.
Calculated formation energy ... -0.209 eV per atom

Unit cell a=4.6185 b=4.6185 c=4.6185 alpha=146.59 beta=132.66 gamma=59.18
Positions (direct):
Cr (0.0000, 0.0000, 0.0000)
Ir (0.3380, 0.3380, 0.0000)
Ir (0.6620, 0.6620, 0.0000)

Number 1: theoretical density 17.62 g/cm³. Number 2: theoretical density 13.71 g/cm³. Number 3: theoretical density 22.31 g/cm³. Number 4: theoretical density 5.66 g/cm³. Number 5: theoretical density 4.43 g/cm³. Number 6: theoretical density 6.21 g/cm³. Number 7: theoretical density 10.64 g/cm³. Number 8: theoretical density 18.32 g/cm³.